Entry 1:
# PBE-GGA Tb6Ho3Zr, relaxed
data_Tb6Ho3Zr
_space_group_name_H-M_alt 'P b a m'
_space_group_IT_number 55
_cell_length_a 11.437
_cell_length_b 11.450
_cell_length_c 4.888
_cell_angle_alpha 90.00
_cell_angle_beta 90.00
_cell_angle_gamma 90.00
loop_
_space_group_symop_operation_xyz
'x,y,z'
'-x,-y,-z'
'-x,-y,z'
'x,y,-z'
'x+1/2,-y+1/2,-z'
'-x+1/2,y+1/2,z'
'-x+1/2,y+1/2,-z'
'x+1/2,-y+1/2,z'
loop_
_atom_site_label
_atom_site_type_symbol
_atom_site_fract_x
_atom_site_fract_y
_atom_site_fract_z
Tb1 Tb 0.000 0.214 0.000
Tb2 Tb 0.148 0.352 0.500
Tb3 Tb 0.214 0.000 0.000
Ho1 Ho 0.000 0.000 0.500
Ho2 Ho 0.146 0.646 0.500
Zr1 Zr 0.000 0.500 0.000
# formation energy: 20 kJ/mol of atoms
# energy: -95.93 eV per cell
# total magnetic moment: 0.00 μB per formula unit

Entry 2:
# PBE-GGA CdCuPt, relaxed
data_CdCuPt
_space_group_name_H-M_alt 'A m m 2'
_space_group_IT_number 38
_cell_length_a 13.421
_cell_length_b 2.880
_cell_length_c 4.989
_cell_angle_alpha 90.00
_cell_angle_beta 90.00
_cell_angle_gamma 90.00
loop_
_space_group_symop_operation_xyz
'x,y,z'
'-x,-y,z'
'-x,y,z'
'x,-y,z'
'x,y+1/2,z+1/2'
'-x,-y+1/2,z+1/2'
'-x,y+1/2,z+1/2'
'x,-y+1/2,z+1/2'
loop_
_atom_site_label
_atom_site_type_symbol
_atom_site_fract_x
_atom_site_fract_y
_atom_site_fract_z
Cd1 Cd 0.168 0.000 0.000
Cu1 Cu 0.000 0.000 0.333
Cu2 Cu 0.500 0.000 0.002
Pt1 Pt 0.346 0.000 0.334
# energy relative to the lowest polymorph listed for this composition: 0.143 eV/atom
# formation energy: -3 kJ/mol of atoms
# energy: -44.58 eV per cell
# total magnetic moment: 0.00 μB per formula unit